The following is a DFT calculation (PBE+U) of a relaxed CrBi3O7 crystal.

The space group is C222_1 (No. 20) and the conventional cell measures 7.763, 10.584 and 7.475 Å, with angles of 90.00, 90.00 and 90.00 degrees. The inequivalent atoms are Cr at (0.002, 0.000, 0.000), Bi at (0.037, 0.500, 0.000), Bi at (0.231, 0.230, 0.242), O at (0.000, 0.065, 0.250), O at (0.000, 0.356, 0.250), O at (0.000, 0.360, 0.750), O at (0.187, 0.129, 0.963) and O at (0.201, 0.121, 0.532).

The total energy is -270.954 eV for the cell shown.